# Nb2Se4Br

Crystalline Nb2Se4Br at its relaxed geometry (PBE, the Alexandria database).

abc: 6.970 7.133 9.901
angles: 100.73 97.63 119.10
Sites, in units of the cell vectors:
Nb 0.000 0.000 0.000
Nb 0.008 0.496 0.989
Nb 0.412 0.904 0.977
Nb 0.913 0.655 0.712
Se 0.183 0.525 0.765
Se 0.192 0.884 0.180
Se 0.253 0.077 0.828
Se 0.271 0.422 0.132
Se 0.677 0.567 0.888
Se 0.716 0.329 0.154
Se 0.729 0.065 0.831
Se 0.756 0.025 0.193
Br 0.618 0.277 0.540
Br 0.885 0.827 0.514

Results
Calculated density = 4.73 Mg/m³
Formation energy (no corrections) = -689 meV per atom
Final energy = -81.142 eV for the cell shown
Space group = No. 1



# Pr7Tl2Ir2

Crystalline Pr7Tl2Ir2 at its relaxed geometry (PBE, the Alexandria database).

abc: 7.128 7.128 7.369
angles: 90.00 90.00 106.68
Sites, in units of the cell vectors:
Pr 0.000 0.000 0.000
Pr 0.000 0.500 0.249
Pr 0.000 0.500 0.751
Pr 0.500 0.000 0.249
Pr 0.500 0.000 0.751
Pr 0.500 0.500 0.242
Pr 0.500 0.500 0.758
Tl 0.176 0.176 0.500
Tl 0.824 0.824 0.500
Ir 0.289 0.711 0.000
Ir 0.711 0.289 0.000

Results
Calculated density = 8.24 Mg/m³
Energy relative to the elements = -0.360 eV per atom
Final energy = -59.875 eV for the cell shown
Space group = No. 65
Energy above the most stable polymorph in this dataset = 16 meV per atom



# Dy3NiB2Pt9

Crystalline Dy3NiB2Pt9 at its relaxed geometry (PBE, the Alexandria database).

abc: 5.699 5.699 9.198
angles: 90.00 90.00 120.00
Sites, in units of the cell vectors:
Dy 0.000 0.000 0.000
Dy 0.333 0.667 0.594
Dy 0.667 0.333 0.406
Ni 0.000 0.000 0.500
B 0.333 0.667 0.152
B 0.667 0.333 0.848
Pt 0.000 0.500 0.000
Pt 0.163 0.326 0.288
Pt 0.163 0.837 0.288
Pt 0.326 0.163 0.712
Pt 0.500 0.000 0.000
Pt 0.500 0.500 0.000
Pt 0.674 0.837 0.288
Pt 0.837 0.163 0.712
Pt 0.837 0.674 0.712

Results
Calculated density = 14.91 Mg/m³
Energy relative to the elements = -0.797 eV per atom
Final energy = -99.269 eV for the cell shown
Space group = No. 164



# BaWS2N

Crystalline BaWS2N at its relaxed geometry (PBE, the Alexandria database).

abc: 4.410 4.410 4.856
angles: 90.00 90.00 90.00
Sites, in units of the cell vectors:
Ba 0.000 0.000 0.000
W 0.500 0.500 0.000
S 0.000 0.500 0.500
S 0.500 0.000 0.500
N 0.000 0.000 0.500

Results
Calculated density = 7.02 Mg/m³
Formation energy (no corrections) = 1553 meV per atom
Final energy = -23.693 eV for the cell shown
Space group = No. 123
Energy above the most stable polymorph in this dataset = 2437 meV per atom